# CaVTeO6 | Alexandria via LeMat-Bulk | GGA+U | optimized geometry
# Total magnetization = 2.0 μB per cell
# E = -6.611 eV/atom
data_CaVTeO6
_cell_length_a 5.1997
_cell_length_b 5.1997
_cell_length_c 10.1578
_cell_angle_alpha 90.00
_cell_angle_beta 90.00
_cell_angle_gamma 120.00
_symmetry_space_group_name_H-M 'P -3 1 c'
_symmetry_Int_Tables_number 163
_symmetry_space_group_name_Hall '-P 3 2c'
loop_
_atom_site_label
_atom_site_type_symbol
_atom_site_fract_x
_atom_site_fract_y
_atom_site_fract_z
Ca1 Ca 0.0000 0.0000 0.0000
V1 V 0.3333 0.6667 0.2500
Te1 Te 0.3333 0.6667 0.7500
O1 O 0.0022 0.3772 0.6432